Record 1
# PBE CdSiPb2I, optimized geometry
data_CdSiPb2I
_cell_length_a 5.554
_cell_length_b 5.554
_cell_length_c 5.623
_cell_angle_alpha 90.00
_cell_angle_beta 90.00
_cell_angle_gamma 90.00
_space_group_name_H-M_alt 'P 1'
_space_group_IT_number 1
_space_group_name_Hall 'P 1'
loop_
_atom_site_label
_atom_site_fract_x
_atom_site_fract_y
_atom_site_fract_z
Cd1 0.000 0.000 0.000
Si1 0.500 0.500 0.500
Pb1 0.000 0.500 0.500
Pb2 0.500 0.000 0.500
I1 0.500 0.500 0.000
# symmetry: No. 123
# total magnetization: 0.000 μB per atom
# E_tot: -2.634 eV per atom
# uncorrected formation energy: 0.4267 eV per atom


Record 2
# PBE CdTc2PbI, optimized geometry
data_CdTc2PbI
_cell_length_a 4.940
_cell_length_b 4.940
_cell_length_c 6.023
_cell_angle_alpha 90.00
_cell_angle_beta 90.00
_cell_angle_gamma 90.00
_space_group_name_H-M_alt 'P 1'
_space_group_IT_number 1
_space_group_name_Hall 'P 1'
loop_
_atom_site_label
_atom_site_fract_x
_atom_site_fract_y
_atom_site_fract_z
Cd1 0.000 0.000 0.000
Tc1 0.000 0.500 0.500
Tc2 0.500 0.000 0.500
Pb1 0.500 0.500 0.000
I1 0.500 0.500 0.500
# symmetry: No. 123
# total magnetization: 0.591 μB per atom
# E_tot: -3.711 eV per atom
# uncorrected formation energy: 1.6703 eV per atom


Record 3
# PBE TiCdPbI2, optimized geometry
data_TiCdPbI2
_cell_length_a 6.314
_cell_length_b 6.314
_cell_length_c 5.703
_cell_angle_alpha 90.00
_cell_angle_beta 90.00
_cell_angle_gamma 90.00
_space_group_name_H-M_alt 'P 1'
_space_group_IT_number 1
_space_group_name_Hall 'P 1'
loop_
_atom_site_label
_atom_site_fract_x
_atom_site_fract_y
_atom_site_fract_z
Ti1 0.000 0.000 0.000
Cd1 0.500 0.500 0.000
Pb1 0.000 0.000 0.500
I1 0.000 0.500 0.500
I2 0.500 0.000 0.500
# symmetry: No. 123
# total magnetization: 0.476 μB per atom
# E_tot: -2.620 eV per atom
# uncorrected formation energy: 0.5033 eV per atom


Record 4
# PBE TlCdPbI5, optimized geometry
data_TlCdPbI5
_cell_length_a 8.650
_cell_length_b 8.650
_cell_length_c 11.571
_cell_angle_alpha 104.46
_cell_angle_beta 104.46
_cell_angle_gamma 105.33
_space_group_name_H-M_alt 'P 1'
_space_group_IT_number 1
_space_group_name_Hall 'P 1'
loop_
_atom_site_label
_atom_site_fract_x
_atom_site_fract_y
_atom_site_fract_z
Tl1 0.151 0.849 0.750
Tl2 0.849 0.151 0.250
Cd1 0.180 0.820 0.250
Cd2 0.820 0.180 0.750
Pb1 0.500 0.500 0.000
Pb2 0.500 0.500 0.500
I1 0.120 0.233 0.949
I2 0.156 0.577 0.375
I3 0.233 0.120 0.449
I4 0.404 0.596 0.750
I5 0.423 0.844 0.125
I6 0.577 0.156 0.875
I7 0.596 0.404 0.250
I8 0.767 0.880 0.551
I9 0.844 0.423 0.625
I10 0.880 0.767 0.051
# symmetry: No. 15
# total magnetization: 0.000 μB per atom
# E_tot: -2.448 eV per atom
# uncorrected formation energy: -0.6053 eV per atom


Record 5
# PBE TlCd2PbI, optimized geometry
data_TlCd2PbI
_cell_length_a 5.561
_cell_length_b 5.561
_cell_length_c 6.183
_cell_angle_alpha 90.00
_cell_angle_beta 90.00
_cell_angle_gamma 90.00
_space_group_name_H-M_alt 'P 1'
_space_group_IT_number 1
_space_group_name_Hall 'P 1'
loop_
_atom_site_label
_atom_site_fract_x
_atom_site_fract_y
_atom_site_fract_z
Tl1 0.000 0.000 0.000
Cd1 0.000 0.500 0.000
Cd2 0.500 0.000 0.000
Pb1 0.000 0.000 0.500
I1 0.500 0.500 0.500
# symmetry: No. 123
# total magnetization: 0.000 μB per atom
# E_tot: -1.706 eV per atom
# uncorrected formation energy: 0.1845 eV per atom


Record 6
# PBE Tl2CdPbI6, optimized geometry
data_Tl2CdPbI6
_cell_length_a 8.663
_cell_length_b 8.663
_cell_length_c 8.663
_cell_angle_alpha 58.44
_cell_angle_beta 58.44
_cell_angle_gamma 58.44
_space_group_name_H-M_alt 'P 1'
_space_group_IT_number 1
_space_group_name_Hall 'P 1'
loop_
_atom_site_label
_atom_site_fract_x
_atom_site_fract_y
_atom_site_fract_z
Tl1 0.000 0.000 0.000
Tl2 0.498 0.498 0.498
Cd1 0.707 0.707 0.707
Pb1 0.206 0.206 0.206
I1 0.044 0.450 0.843
I2 0.361 0.930 0.562
I3 0.450 0.843 0.044
I4 0.562 0.361 0.930
I5 0.843 0.044 0.450
I6 0.930 0.562 0.361
# symmetry: No. 146
# total magnetization: 0.000 μB per atom
# E_tot: -2.458 eV per atom
# uncorrected formation energy: -0.5919 eV per atom